8
Lattice="5.228 0.000 0.000 0.000 5.228 0.000 -2.614 -2.614 7.457" Properties=species:S:1:pos:R:3 comment="CaTb2Hg5 | Alexandria | GGA-PBE | relaxed" formation_enthalpy_0k_ev_per_atom=-0.4181 magmom_total_mub_per_fu=0.0 pbc="T T T"
Hg 0.000 2.614 5.562
Hg 2.614 0.000 5.562
Hg 0.000 2.614 1.895
Hg 2.614 2.614 0.000
Hg 2.614 0.000 1.895
Tb 2.614 2.614 3.502
Tb 0.000 0.000 3.956
Ca 0.000 0.000 0.000